[1]
A plane-wave DFT calculation with PBEsol was carried out for a relaxed structure of BaCoMo2S. Values from VASP.

As for the total energy: -22.531 eV per cell. The calculation puts the formation energy (no corrections) at 3.055 eV per atom. As for the magnetic moment: 4.82 μB/f.u.

The structure in Quantum ESPRESSO input format:
```
&SYSTEM
  ibrav = 0, nat = 5, ntyp = 4
/
ATOMIC_SPECIES
S 32.06 S.upf
Mo 95.94 Mo.upf
Co 58.93 Co.upf
Ba 137.33 Ba.upf
CELL_PARAMETERS angstrom
4.5803 0.0000 0.0000
0.0000 5.0357 0.0000
0.0000 0.0000 5.0357
ATOMIC_POSITIONS crystal
S 0.5000 0.5000 0.5000
Mo 0.0000 0.0000 0.5000
Mo 0.0000 0.5000 0.0000
Co 0.5000 0.0000 0.0000
Ba 0.0000 0.0000 0.0000
```



[2]
A plane-wave DFT calculation with PBEsol was carried out for a relaxed structure of BaCoMo2Se. Values from VASP.

As for the total energy: -22.883 eV per cell. The calculation puts the formation energy (no corrections) at 2.878 eV per atom. As for the magnetic moment: 4.76 μB/f.u.

The structure in Quantum ESPRESSO input format:
```
&SYSTEM
  ibrav = 0, nat = 5, ntyp = 4
/
ATOMIC_SPECIES
Mo 95.94 Mo.upf
Co 58.93 Co.upf
Ba 137.33 Ba.upf
Se 78.96 Se.upf
CELL_PARAMETERS angstrom
4.6075 0.0000 0.0000
0.0000 5.0429 0.0000
0.0000 0.0000 5.0429
ATOMIC_POSITIONS crystal
Mo 0.0000 0.0000 0.5000
Mo 0.0000 0.5000 0.0000
Co 0.5000 0.0000 0.0000
Ba 0.0000 0.0000 0.0000
Se 0.5000 0.5000 0.5000
```



[3]
A plane-wave DFT calculation with PBEsol was carried out for a relaxed structure of BaCoN3. Values from VASP.

As for the total energy: -32.840 eV per cell. The calculation puts the formation energy (no corrections) at 0.525 eV per atom. As for the magnetic moment: 5.09 μB/f.u.

The structure in Quantum ESPRESSO input format:
```
&SYSTEM
  ibrav = 0, nat = 5, ntyp = 3
/
ATOMIC_SPECIES
Co 58.93 Co.upf
Ba 137.33 Ba.upf
N 14.01 N.upf
CELL_PARAMETERS angstrom
-2.5424 -1.6025 2.5440
2.8160 -2.4366 1.2793
1.0536 2.6455 2.7194
ATOMIC_POSITIONS crystal
Co 0.0000 0.0000 0.0000
Ba 0.5000 0.5000 0.5000
N 0.0000 0.5000 0.0000
N 0.0000 0.0000 0.5000
N 0.5000 0.0000 0.0000
```



[4]
A plane-wave DFT calculation with PBEsol was carried out for a relaxed structure of BaCoNO2. Values from VASP.

As for the total energy: -33.664 eV per cell. The calculation puts the formation energy (no corrections) at -0.951 eV per atom. As for the magnetic moment: 0.62 μB/f.u.

The structure in Quantum ESPRESSO input format:
```
&SYSTEM
  ibrav = 0, nat = 5, ntyp = 4
/
ATOMIC_SPECIES
Co 58.93 Co.upf
Ba 137.33 Ba.upf
O 16.00 O.upf
N 14.01 N.upf
CELL_PARAMETERS angstrom
3.5118 0.0000 0.0000
0.0000 4.1250 0.0000
0.0000 0.0000 4.1250
ATOMIC_POSITIONS crystal
Co 0.0000 0.0000 0.0000
Ba 0.5000 0.5000 0.5000
O 0.0000 0.0000 0.5000
O 0.0000 0.5000 0.0000
N 0.5000 0.0000 0.0000
```



[5]
A plane-wave DFT calculation with PBEsol was carried out for a relaxed structure of BaZnCoN2. Values from VASP.

As for the total energy: -16.969 eV per cell. The calculation puts the formation energy (no corrections) at 2.311 eV per atom. As for the magnetic moment: 4.07 μB/f.u.

The structure in Quantum ESPRESSO input format:
```
&SYSTEM
  ibrav = 0, nat = 5, ntyp = 4
/
ATOMIC_SPECIES
Zn 65.41 Zn.upf
Co 58.93 Co.upf
Ba 137.33 Ba.upf
N 14.01 N.upf
CELL_PARAMETERS angstrom
-4.5166 0.5102 0.1499
-0.3032 -3.5242 2.8585
0.5152 3.3364 4.1680
ATOMIC_POSITIONS crystal
Zn 0.5000 0.5000 0.5000
Co 0.0000 0.0000 0.5000
Ba 0.0000 0.0000 0.0000
N 0.0000 0.5000 0.0000
N 0.5000 0.0000 0.0000
```



[6]
A plane-wave DFT calculation with PBEsol was carried out for a relaxed structure of Ba2ZnCoN. Values from VASP.

As for the total energy: -22.287 eV per cell. The calculation puts the formation energy (no corrections) at -0.029 eV per atom. As for the magnetic moment: 0.00 μB/f.u.

The structure in Quantum ESPRESSO input format:
```
&SYSTEM
  ibrav = 0, nat = 5, ntyp = 4
/
ATOMIC_SPECIES
Zn 65.41 Zn.upf
Co 58.93 Co.upf
Ba 137.33 Ba.upf
N 14.01 N.upf
CELL_PARAMETERS angstrom
-0.8829 2.3309 2.4400
-5.0671 1.0822 -2.8673
-2.6732 -4.2704 3.1122
ATOMIC_POSITIONS crystal
Zn 0.5000 0.5000 0.5000
Co 0.0000 0.0000 0.0000
Ba 0.0000 0.0000 0.5000
Ba 0.0000 0.5000 0.0000
N 0.5000 0.0000 0.0000
```